Record 1
Computed, not measured: a relaxed structure of CsSrPt2F at the PBE level of DFT.

DOS(E_F) ... 0.2993 states/eV per atom
V ... 28.8 A^3/atom
Formation energy without anion corrections ... -30.3 kJ/mol of formula units
Total moment ... 0.00 μB/atom

abc: 5.324 5.324 5.088
angles: 90.00 90.00 90.00
Space group P4/mmm (No. 123)
Inequivalent atoms, fractional coordinates:
Cs1 0.000 0.000 0.000 [1 per cell]
Sr1 0.500 0.500 0.500 [1 per cell]
Pt1 0.000 0.500 0.000 [2 per cell]
F1 0.000 0.000 0.500 [1 per cell]


Record 2
Computed, not measured: a relaxed structure of Cs2SrPtF6 at the PBE level of DFT.

DOS(E_F) ... 0.0000 states/eV per atom
V ... 20.3 A^3/atom
Formation energy without anion corrections ... -2399.3 kJ/mol of formula units
Total moment ... 0.20 μB/atom

abc: 6.604 6.604 9.306
angles: 90.00 90.00 90.00
Space group I4/mmm (No. 139)
Inequivalent atoms, fractional coordinates:
Cs1 0.000 0.500 0.250 [4 per cell]
Sr1 0.000 0.000 0.000 [2 per cell]
Pt1 0.000 0.000 0.500 [2 per cell]
F1 0.000 0.000 0.258 [4 per cell]
F2 0.243 0.243 0.500 [8 per cell]


Record 3
Computed, not measured: a relaxed structure of Cs2TaPtF6 at the PBE level of DFT.

DOS(E_F) ... 1.1728 states/eV per atom
V ... 23.1 A^3/atom
Formation energy without anion corrections ... -2177.7 kJ/mol of formula units
Total moment ... 0.10 μB/atom

abc: 7.509 7.509 8.201
angles: 90.00 90.00 90.00
Space group I4/mmm (No. 139)
Inequivalent atoms, fractional coordinates:
Cs1 0.000 0.500 0.250 [4 per cell]
Ta1 0.000 0.000 0.000 [2 per cell]
Pt1 0.000 0.000 0.500 [2 per cell]
F1 0.000 0.000 0.249 [4 per cell]
F2 0.186 0.186 0.000 [8 per cell]


Record 4
Computed, not measured: a relaxed structure of Cs2TcPtF6 at the PBE level of DFT.

DOS(E_F) ... 0.0000 states/eV per atom
V ... 21.7 A^3/atom
Formation energy without anion corrections ... -1819.1 kJ/mol of formula units
Total moment ... 0.30 μB/atom

abc: 7.330 7.330 8.088
angles: 90.00 90.00 90.00
Space group I4/mmm (No. 139)
Inequivalent atoms, fractional coordinates:
Cs1 0.000 0.500 0.250 [4 per cell]
Tc1 0.000 0.000 0.000 [2 per cell]
Pt1 0.000 0.000 0.500 [2 per cell]
F1 0.000 0.000 0.248 [4 per cell]
F2 0.191 0.191 0.000 [8 per cell]


Record 5
Computed, not measured: a relaxed structure of Cs2TlPtF6 at the PBE level of DFT.

DOS(E_F) ... 0.0000 states/eV per atom
V ... 21.6 A^3/atom
Formation energy without anion corrections ... -1937.6 kJ/mol of formula units
Total moment ... 0.10 μB/atom

abc: 6.619 6.619 9.851
angles: 90.00 90.00 90.00
Space group I4/mmm (No. 139)
Inequivalent atoms, fractional coordinates:
Cs1 0.000 0.500 0.250 [4 per cell]
Tl1 0.000 0.000 0.000 [2 per cell]
Pt1 0.000 0.000 0.500 [2 per cell]
F1 0.000 0.000 0.265 [4 per cell]
F2 0.216 0.216 0.500 [8 per cell]